Here is a relaxed structure of KMgInSn2 from Alexandria. Energies are from GGA-PBE.

- Formation enthalpy at 0 K: -0.19 eV/atom
- N(E_F): 2.03 states/eV/f.u.
- Space-group type: I-4m2, No. 119

abc: 5.0199 5.0199 12.2840
angles: 90.00 90.00 90.00
Element x y z (fractional)
K  0.0000  0.0000  0.0000
K  0.5000  0.5000  0.5000
Mg  0.0000  0.5000  0.7500
Mg  0.5000  0.0000  0.2500
In  0.0000  0.5000  0.2500
In  0.5000  0.0000  0.7500
Sn  0.0000  0.0000  0.3823
Sn  0.0000  0.0000  0.6177
Sn  0.5000  0.5000  0.1177
Sn  0.5000  0.5000  0.8823

Here is a relaxed structure of KMgIn2Sn2 from Alexandria. Energies are from GGA-PBE.

- Formation enthalpy at 0 K: -0.11 eV/atom
- N(E_F): 2.74 states/eV/f.u.
- Space-group type: P-3m1, No. 164

abc: 5.1782 5.1782 7.8471
angles: 90.00 90.00 120.00
Element x y z (fractional)
K  0.0000  0.0000  0.0000
Mg  0.0000  0.0000  0.5000
In  0.3333  0.6667  0.6719
In  0.6667  0.3333  0.3281
Sn  0.3333  0.6667  0.2818
Sn  0.6667  0.3333  0.7182

Here is a relaxed structure of KMgInSn from Alexandria. Energies are from GGA-PBE.

- Formation enthalpy at 0 K: -0.03 eV/atom
- N(E_F): 0.88 states/eV/f.u.
- Space-group type: F-43m, No. 216

abc: 7.6938 7.6938 7.6938
angles: 90.00 90.00 90.00
Element x y z (fractional)
K  0.0000  0.0000  0.0000
K  0.0000  0.5000  0.5000
K  0.5000  0.0000  0.5000
K  0.5000  0.5000  0.0000
Mg  0.0000  0.0000  0.5000
Mg  0.0000  0.5000  0.0000
Mg  0.5000  0.0000  0.0000
Mg  0.5000  0.5000  0.5000
In  0.2500  0.2500  0.7500
In  0.2500  0.7500  0.2500
In  0.7500  0.2500  0.2500
In  0.7500  0.7500  0.7500
Sn  0.2500  0.2500  0.2500
Sn  0.2500  0.7500  0.7500
Sn  0.7500  0.2500  0.7500
Sn  0.7500  0.7500  0.2500

Here is a relaxed structure of KMgInTe3 from Alexandria. Energies are from GGA-PBE.

- Space-group type: P2_1/m, No. 11

abc: 9.3041 4.3649 11.6620
angles: 90.00 108.28 90.00
Element x y z (fractional)
K  0.2209  0.2500  0.2119
K  0.7791  0.7500  0.7881
Mg  0.3567  0.7500  0.9124
Mg  0.6433  0.2500  0.0876
In  0.1121  0.2500  0.6367
In  0.8879  0.7500  0.3633
Te  0.1057  0.2500  0.8702
Te  0.2117  0.7500  0.5215
Te  0.4870  0.7500  0.1672
Te  0.5130  0.2500  0.8328
Te  0.7883  0.2500  0.4785
Te  0.8943  0.7500  0.1298

Here is a relaxed structure of KMgTl2In from Alexandria. Energies are from GGA-PBE.

- Formation enthalpy at 0 K: 0.18 eV/atom
- N(E_F): 1.76 states/eV/f.u.
- Space-group type: P4/mmm, No. 123

abc: 6.3790 6.3790 5.6281
angles: 90.00 90.00 90.00
Element x y z (fractional)
K  0.0000  0.0000  0.0000
Mg  0.5000  0.5000  0.0000
Tl  0.0000  0.5000  0.5000
Tl  0.5000  0.0000  0.5000
In  0.5000  0.5000  0.5000

Here is a relaxed structure of K2MgTl4In3 from Alexandria. Energies are from GGA-PBE.

- Formation enthalpy at 0 K: -0.06 eV/atom
- N(E_F): 6.31 states/eV/f.u.
- Space-group type: P-4m2, No. 115

abc: 5.0101 5.0101 13.0625
angles: 90.00 90.00 90.00
Element x y z (fractional)
K  0.0000  0.5000  0.2501
K  0.5000  0.0000  0.7499
Mg  0.0000  0.0000  0.5000
Tl  0.0000  0.0000  0.0000
Tl  0.0000  0.5000  0.6332
Tl  0.5000  0.0000  0.3668
Tl  0.5000  0.5000  0.0000
In  0.0000  0.5000  0.8597
In  0.5000  0.0000  0.1403
In  0.5000  0.5000  0.5000

Here is a relaxed structure of KMg2TlIn4 from Alexandria. Energies are from GGA-PBE.

- Formation enthalpy at 0 K: -0.02 eV/atom
- N(E_F): 3.49 states/eV/f.u.
- Space-group type: R-3m, No. 166

abc: 11.0776 11.0776 11.0776
angles: 27.15 27.15 27.15
Element x y z (fractional)
K  0.0000  0.0000  0.0000
Mg  0.2222  0.2222  0.2222
Mg  0.7778  0.7778  0.7778
Tl  0.5000  0.5000  0.5000
In  0.1162  0.1162  0.1162
In  0.4035  0.4035  0.4035
In  0.5965  0.5965  0.5965
In  0.8838  0.8838  0.8838

Here is a relaxed structure of KMgTl2In from Alexandria. Energies are from GGA-PBE.

- Formation enthalpy at 0 K: 0.10 eV/atom
- N(E_F): 3.96 states/eV/f.u.
- Space-group type: P4/mmm, No. 123

abc: 5.6795 5.6795 5.5735
angles: 90.00 90.00 90.00
Element x y z (fractional)
K  0.0000  0.0000  0.0000
Mg  0.5000  0.5000  0.5000
Tl  0.0000  0.5000  0.5000
Tl  0.5000  0.0000  0.5000
In  0.5000  0.5000  0.0000

Here is a relaxed structure of KMgTl3In from Alexandria. Energies are from GGA-PBE.

- Formation enthalpy at 0 K: -0.06 eV/atom
- N(E_F): 2.19 states/eV/f.u.
- Space-group type: Cmcm, No. 63

abc: 9.2018 9.2018 9.0820
angles: 90.00 90.00 149.67
Element x y z (fractional)
K  0.1977  0.8023  0.7500
K  0.8023  0.1977  0.2500
Mg  0.0000  0.0000  0.0000
Mg  0.0000  0.0000  0.5000
Tl  0.1454  0.8546  0.2500
Tl  0.3790  0.6210  0.5109
Tl  0.3790  0.6210  0.9891
Tl  0.6210  0.3790  0.0109
Tl  0.6210  0.3790  0.4891
Tl  0.8546  0.1454  0.7500
In  0.4916  0.5084  0.2500
In  0.5084  0.4916  0.7500

Here is a relaxed structure of KMgTl2In from Alexandria. Energies are from GGA-PBE.

- Formation enthalpy at 0 K: -0.07 eV/atom
- N(E_F): 1.85 states/eV/f.u.
- Space-group type: Pmma, No. 51

abc: 6.0145 7.1947 7.3294
angles: 90.00 90.00 90.00
Element x y z (fractional)
K  0.2500  0.0000  0.1982
K  0.7500  0.0000  0.8018
Mg  0.0000  0.5000  0.0000
Mg  0.5000  0.5000  0.0000
Tl  0.2500  0.2481  0.7005
Tl  0.2500  0.7519  0.7005
Tl  0.7500  0.2481  0.2995
Tl  0.7500  0.7519  0.2995
In  0.2500  0.5000  0.3618
In  0.7500  0.5000  0.6382

Here is a relaxed structure of K2Mg3Tl12In from Alexandria. Energies are from GGA-PBE.

- Formation enthalpy at 0 K: 0.06 eV/atom
- N(E_F): 6.63 states/eV/f.u.
- Space-group type: R-3m, No. 166

abc: 12.5401 12.5401 12.5401
angles: 35.80 35.80 35.80
Element x y z (fractional)
K  0.1403  0.1403  0.1403
K  0.8597  0.8597  0.8597
Mg  0.0000  0.5000  0.5000
Mg  0.5000  0.0000  0.5000
Mg  0.5000  0.5000  0.0000
Tl  0.0900  0.0900  0.6812
Tl  0.0900  0.6812  0.0900
Tl  0.1009  0.6067  0.6067
Tl  0.3188  0.9100  0.9100
Tl  0.3933  0.3933  0.8991
Tl  0.3933  0.8991  0.3933
Tl  0.6067  0.1009  0.6067
Tl  0.6067  0.6067  0.1009
Tl  0.6812  0.0900  0.0900
Tl  0.8991  0.3933  0.3933
Tl  0.9100  0.3188  0.9100
Tl  0.9100  0.9100  0.3188
In  0.5000  0.5000  0.5000

Here is a relaxed structure of KMg2VIn from Alexandria. Energies are from GGA-PBE.

- Formation enthalpy at 0 K: 0.87 eV/atom
- N(E_F): 3.68 states/eV/f.u.
- Space-group type: P4/mmm, No. 123

abc: 5.4482 5.4482 5.9021
angles: 90.00 90.00 90.00
Element x y z (fractional)
K  0.0000  0.0000  0.0000
Mg  0.0000  0.5000  0.5000
Mg  0.5000  0.0000  0.5000
V  0.0000  0.0000  0.5000
In  0.5000  0.5000  0.0000

Here is a relaxed structure of KMg2ZnIn4 from Alexandria. Energies are from GGA-PBE.

- Formation enthalpy at 0 K: -0.02 eV/atom
- N(E_F): 3.78 states/eV/f.u.
- Space-group type: R-3m, No. 166

abc: 10.7778 10.7778 10.7778
angles: 26.98 26.98 26.98
Element x y z (fractional)
K  0.0000  0.0000  0.0000
Mg  0.2336  0.2336  0.2336
Mg  0.7664  0.7664  0.7664
Zn  0.5000  0.5000  0.5000
In  0.1309  0.1309  0.1309
In  0.4069  0.4069  0.4069
In  0.5931  0.5931  0.5931
In  0.8691  0.8691  0.8691

Here is a relaxed structure of KMnIn2 from Alexandria. Energies are from GGA-PBE.

- Formation enthalpy at 0 K: 0.29 eV/atom
- N(E_F): 3.02 states/eV/f.u.
- Space-group type: R-3m, No. 166

abc: 3.4577 3.4577 30.9502
angles: 90.00 90.00 120.00
Element x y z (fractional)
K  0.0000  0.0000  0.0000
K  0.3333  0.6667  0.6667
K  0.6667  0.3333  0.3333
Mn  0.0000  0.0000  0.5000
Mn  0.3333  0.6667  0.1667
Mn  0.6667  0.3333  0.8333
In  0.0000  0.0000  0.2356
In  0.0000  0.0000  0.7644
In  0.3333  0.6667  0.4310
In  0.3333  0.6667  0.9023
In  0.6667  0.3333  0.0977
In  0.6667  0.3333  0.5690

Here is a relaxed structure of K2MnIn from Alexandria. Energies are from GGA-PBE.

- Formation enthalpy at 0 K: 0.65 eV/atom
- N(E_F): 3.83 states/eV/f.u.
- Space-group type: R-3m, No. 166

abc: 3.6137 3.6137 36.7656
angles: 90.00 90.00 120.00
Element x y z (fractional)
K  0.0000  0.0000  0.2499
K  0.0000  0.0000  0.7501
K  0.3333  0.6667  0.4168
K  0.3333  0.6667  0.9166
K  0.6667  0.3333  0.0834
K  0.6667  0.3333  0.5832
Mn  0.0000  0.0000  0.0000
Mn  0.3333  0.6667  0.6667
Mn  0.6667  0.3333  0.3333
In  0.0000  0.0000  0.5000
In  0.3333  0.6667  0.1667
In  0.6667  0.3333  0.8333

Here is a relaxed structure of K2MnIn from Alexandria. Energies are from GGA-PBE.

- Formation enthalpy at 0 K: 0.39 eV/atom
- N(E_F): 1.35 states/eV/f.u.
- Space-group type: Imm2, No. 44

abc: 4.7623 6.1930 10.4241
angles: 90.00 90.00 90.00
Element x y z (fractional)
K  0.0000  0.0000  0.0000
K  0.0000  0.5000  0.1916
K  0.5000  0.0000  0.6916
K  0.5000  0.5000  0.5000
Mn  0.0000  0.5000  0.7910
Mn  0.5000  0.0000  0.2910
In  0.0000  0.0000  0.4088
In  0.5000  0.5000  0.9088

Here is a relaxed structure of KMnIn2 from Alexandria. Energies are from GGA-PBE.

- Formation enthalpy at 0 K: 0.43 eV/atom
- N(E_F): 2.90 states/eV/f.u.
- Space-group type: F-43m, No. 216

abc: 7.5206 7.5206 7.5206
angles: 90.00 90.00 90.00
Element x y z (fractional)
K  0.0000  0.0000  0.0000
K  0.0000  0.5000  0.5000
K  0.5000  0.0000  0.5000
K  0.5000  0.5000  0.0000
Mn  0.2500  0.2500  0.2500
Mn  0.2500  0.7500  0.7500
Mn  0.7500  0.2500  0.7500
Mn  0.7500  0.7500  0.2500
In  0.0000  0.0000  0.5000
In  0.0000  0.5000  0.0000
In  0.2500  0.2500  0.7500
In  0.2500  0.7500  0.2500
In  0.5000  0.0000  0.0000
In  0.5000  0.5000  0.5000
In  0.7500  0.2500  0.2500
In  0.7500  0.7500  0.7500

Here is a relaxed structure of K4MnIn from Alexandria. Energies are from GGA-PBE.

- Formation enthalpy at 0 K: 0.66 eV/atom
- N(E_F): 5.20 states/eV/f.u.
- Space-group type: F-43m, No. 216

abc: 7.2836 7.2836 7.2836
angles: 60.00 60.00 60.00
Element x y z (fractional)
K  0.1252  0.1252  0.1252
K  0.1252  0.1252  0.6244
K  0.1252  0.6244  0.1252
K  0.6244  0.1252  0.1252
Mn  0.7500  0.7500  0.7500
In  0.5000  0.5000  0.5000

Here is a relaxed structure of KMnIn2 from Alexandria. Energies are from GGA-PBE.

- Formation enthalpy at 0 K: 0.12 eV/atom
- N(E_F): 2.31 states/eV/f.u.
- Space-group type: P4/mmm, No. 123

abc: 3.4394 3.4394 8.7653
angles: 90.00 90.00 90.00
Element x y z (fractional)
K  0.0000  0.0000  0.0000
Mn  0.0000  0.0000  0.5000
In  0.5000  0.5000  0.3160
In  0.5000  0.5000  0.6840

Here is a relaxed structure of K2MnIn from Alexandria. Energies are from GGA-PBE.

- Formation enthalpy at 0 K: 0.32 eV/atom
- N(E_F): 2.05 states/eV/f.u.
- Space-group type: Pm, No. 6

abc: 3.7123 4.0660 10.3305
angles: 90.00 90.44 90.00
Element x y z (fractional)
K  0.0000  0.0000  0.0000
K  0.4942  0.5000  0.6147
Mn  0.0030  0.5000  0.3035
In  0.5039  0.0000  0.3111

Here is a relaxed structure of KMnIn2 from Alexandria. Energies are from GGA-PBE.

- Formation enthalpy at 0 K: 0.31 eV/atom
- N(E_F): 4.05 states/eV/f.u.
- Space-group type: P4mm, No. 99

abc: 3.7764 3.7764 8.2830
angles: 90.00 90.00 90.00
Element x y z (fractional)
K  0.0000  0.0000  0.0000
Mn  0.5000  0.5000  0.3382
In  0.0000  0.0000  0.4473
In  0.5000  0.5000  0.6832

Here is a relaxed structure of KMnIn2 from Alexandria. Energies are from GGA-PBE.

- Formation enthalpy at 0 K: 0.24 eV/atom
- N(E_F): 2.36 states/eV/f.u.
- Space-group type: C2/m, No. 12

abc: 9.1430 3.1693 7.8919
angles: 90.00 95.85 90.00
Element x y z (fractional)
K  0.0000  0.0000  0.0000
K  0.5000  0.5000  0.0000
Mn  0.0000  0.5000  0.5000
Mn  0.5000  0.0000  0.5000
In  0.2392  0.0000  0.6755
In  0.2608  0.5000  0.3245
In  0.7392  0.5000  0.6755
In  0.7608  0.0000  0.3245

Here is a relaxed structure of K2MnIn from Alexandria. Energies are from GGA-PBE.

- Formation enthalpy at 0 K: 0.57 eV/atom
- N(E_F): 3.81 states/eV/f.u.
- Space-group type: P4/mmm, No. 123

abc: 4.7681 4.7681 5.8238
angles: 90.00 90.00 90.00
Element x y z (fractional)
K  0.0000  0.5000  0.0000
K  0.5000  0.0000  0.0000
Mn  0.0000  0.0000  0.5000
In  0.5000  0.5000  0.5000

Here is a relaxed structure of KMnIn2 from Alexandria. Energies are from GGA-PBE.

- Formation enthalpy at 0 K: 0.23 eV/atom
- N(E_F): 2.84 states/eV/f.u.
- Space-group type: Pm, No. 6

abc: 3.2082 4.5639 7.9415
angles: 90.00 90.05 90.00
Element x y z (fractional)
K  0.0000  0.0000  0.0000
Mn  0.9982  0.5000  0.3907
In  0.4982  0.0000  0.4196
In  0.4994  0.5000  0.6986

Here is a relaxed structure of KMnIn2 from Alexandria. Energies are from GGA-PBE.

- Formation enthalpy at 0 K: 0.36 eV/atom
- N(E_F): 1.65 states/eV/f.u.
- Space-group type: Fm-3m, No. 225

abc: 7.4430 7.4430 7.4430
angles: 90.00 90.00 90.00
Element x y z (fractional)
K  0.0000  0.0000  0.0000
K  0.0000  0.5000  0.5000
K  0.5000  0.0000  0.5000
K  0.5000  0.5000  0.0000
Mn  0.0000  0.0000  0.5000
Mn  0.0000  0.5000  0.0000
Mn  0.5000  0.0000  0.0000
Mn  0.5000  0.5000  0.5000
In  0.2500  0.2500  0.2500
In  0.2500  0.2500  0.7500
In  0.2500  0.7500  0.2500
In  0.2500  0.7500  0.7500
In  0.7500  0.2500  0.2500
In  0.7500  0.2500  0.7500
In  0.7500  0.7500  0.2500
In  0.7500  0.7500  0.7500

Here is a relaxed structure of K2MnIn from Alexandria. Energies are from GGA-PBE.

- Formation enthalpy at 0 K: 0.62 eV/atom
- N(E_F): 4.87 states/eV/f.u.
- Space-group type: P4/mmm, No. 123

abc: 3.5297 3.5297 11.2828
angles: 90.00 90.00 90.00
Element x y z (fractional)
K  0.0000  0.0000  0.2471
K  0.0000  0.0000  0.7529
Mn  0.5000  0.5000  0.0000
In  0.5000  0.5000  0.5000

Here is a relaxed structure of K2MnIn from Alexandria. Energies are from GGA-PBE.

- Formation enthalpy at 0 K: 1.16 eV/atom
- N(E_F): 5.63 states/eV/f.u.
- Space-group type: I-42d, No. 122

abc: 4.2812 4.2812 24.3869
angles: 90.00 90.00 90.00
Element x y z (fractional)
K  0.2439  0.2500  0.1250
K  0.2500  0.7439  0.3750
K  0.2500  0.7561  0.8750
K  0.2561  0.2500  0.6250
K  0.7439  0.7500  0.6250
K  0.7500  0.2439  0.8750
K  0.7500  0.2561  0.3750
K  0.7561  0.7500  0.1250
Mn  0.0000  0.0000  0.0000
Mn  0.0000  0.5000  0.2500
Mn  0.5000  0.0000  0.7500
Mn  0.5000  0.5000  0.5000
In  0.0000  0.0000  0.5000
In  0.0000  0.5000  0.7500
In  0.5000  0.0000  0.2500
In  0.5000  0.5000  0.0000

no.,final energy (eV/atom),size of the total moment (μB/f.u.)
1,-2.88,0.000
2,-2.80,0.000
3,-2.39,0.000
4,-3.16,0.000
5,-1.86,0.000
6,-2.21,0.000
7,-2.22,0.000
8,-1.94,0.000
9,-2.14,0.000
10,-2.11,0.000
11,-2.05,0.000
12,-2.36,4.535
13,-2.08,0.000
14,-3.64,4.196
15,-2.88,4.486
16,-3.14,3.972
17,-3.51,4.605
18,-2.06,4.374
19,-3.81,3.798
20,-3.20,3.536
21,-3.63,4.025
22,-3.70,3.755
23,-2.96,4.018
24,-3.71,3.603
25,-3.58,4.060
26,-2.90,4.440
27,-2.36,0.293